The following is a PBE calculation of a relaxed structure of ErGa2Pb, from Alexandria via LeMat-Bulk.

Values from the calculation:
Total magnetic moment in μB/cell: 0.00
VASP energy in eV per atom: -3.752
Distance to the lowest polymorph of the same formula in meV per atom: 176

```
ErGa2Pb
1.0
0.000 3.633 3.633
3.633 0.000 3.633
3.633 3.633 0.000
Er Ga Pb
1 2 1
Direct
0.000 0.000 0.000
0.250 0.250 0.250
0.750 0.750 0.750
0.500 0.500 0.500
```